Entry from Alexandria via LeMat-Bulk: a relaxed RbLiH2Cl4 crystal (PBE). Values from VASP.

The structure in Quantum ESPRESSO input format:
```
&SYSTEM
  ibrav = 0, nat = 8, ntyp = 4
/
ATOMIC_SPECIES
Rb 85.47 Rb.upf
Li 6.94 Li.upf
H 1.01 H.upf
Cl 35.45 Cl.upf
CELL_PARAMETERS angstrom
-2.857 3.936 4.326
2.857 -3.936 4.326
2.857 3.936 -4.326
ATOMIC_POSITIONS angstrom
Rb 0.000 0.000 0.000
Li 0.000 0.000 4.326
H 2.857 0.000 2.870
H 0.000 3.936 1.456
Cl 1.220 2.953 -1.508
Cl 1.637 0.983 2.818
Cl 1.637 -0.983 5.833
Cl 1.220 4.919 1.508
```

Computed properties:
Space group: I222 (23)

Entry from Alexandria via LeMat-Bulk: a relaxed CaNbAu crystal (PBE). Values from VASP.

The structure in Quantum ESPRESSO input format:
```
&SYSTEM
  ibrav = 0, nat = 6, ntyp = 3
/
ATOMIC_SPECIES
Ca 40.08 Ca.upf
Nb 92.91 Nb.upf
Au 196.97 Au.upf
CELL_PARAMETERS angstrom
3.501 0.000 0.000
0.000 3.501 0.000
0.000 0.000 10.952
ATOMIC_POSITIONS angstrom
Ca 0.000 0.000 0.000
Ca 0.000 0.000 3.796
Nb 0.000 0.000 7.298
Nb 1.751 1.751 6.084
Au 1.751 1.751 1.939
Au 1.751 1.751 9.029
```

Computed properties:
E above lowest polymorph in eV/f.u.: 0.00
E_form in eV/atom: -0.24
Space group: P4mm (99)

Entry from Alexandria via LeMat-Bulk: a relaxed SrCo2Te crystal (PBE). Values from VASP.

The structure in Quantum ESPRESSO input format:
```
&SYSTEM
  ibrav = 0, nat = 4, ntyp = 3
/
ATOMIC_SPECIES
Sr 87.62 Sr.upf
Co 58.93 Co.upf
Te 127.60 Te.upf
CELL_PARAMETERS angstrom
-2.053 3.015 3.865
2.053 -3.015 3.865
2.053 3.015 -3.865
ATOMIC_POSITIONS angstrom
Sr 0.000 0.000 0.000
Co 2.053 0.000 2.585
Co 0.000 0.000 3.638
Te 0.000 3.015 1.350
```

Computed properties:
Raw formation energy in eV per atom: 0.175
Space group: Imm2 (44)

Entry from Alexandria via LeMat-Bulk: a relaxed LiCrCl2 crystal (PBE). Values from VASP.

The structure in Quantum ESPRESSO input format:
```
&SYSTEM
  ibrav = 0, nat = 4, ntyp = 3
/
ATOMIC_SPECIES
Li 6.94 Li.upf
Cr 52.00 Cr.upf
Cl 35.45 Cl.upf
CELL_PARAMETERS angstrom
3.472 -1.820 0.000
3.472 1.820 0.000
-0.831 0.000 6.651
ATOMIC_POSITIONS angstrom
Li 0.000 0.000 0.000
Cr 2.204 0.000 3.320
Cl 1.367 0.000 5.576
Cl 4.128 0.000 1.829
```

Computed properties:
E above lowest polymorph in eV/f.u.: 0.53
Raw formation energy in eV per atom: -0.898
Space group: Cm (8)

Entry from Alexandria via LeMat-Bulk: a relaxed CdCoCuRh2 crystal (PBE). Values from VASP.

The structure in Quantum ESPRESSO input format:
```
&SYSTEM
  ibrav = 0, nat = 5, ntyp = 4
/
ATOMIC_SPECIES
Cd 112.41 Cd.upf
Co 58.93 Co.upf
Cu 63.55 Cu.upf
Rh 102.91 Rh.upf
CELL_PARAMETERS angstrom
4.894 0.000 0.000
0.000 4.894 0.000
0.000 0.000 4.640
ATOMIC_POSITIONS angstrom
Cd 0.000 0.000 0.000
Co 0.000 0.000 2.320
Cu 2.447 2.447 2.320
Rh 0.000 2.447 0.000
Rh 2.447 0.000 0.000
```

Computed properties:
E_form in eV/atom: 1.80
Space group: P4/mmm (123)

Entry from Alexandria via LeMat-Bulk: a relaxed Al2AgPd7 crystal (PBE). Values from VASP.

The structure in Quantum ESPRESSO input format:
```
&SYSTEM
  ibrav = 0, nat = 10, ntyp = 3
/
ATOMIC_SPECIES
Al 26.98 Al.upf
Ag 107.87 Ag.upf
Pd 106.42 Pd.upf
CELL_PARAMETERS angstrom
3.624 -6.112 0.000
3.624 6.112 0.000
0.000 0.000 4.340
ATOMIC_POSITIONS angstrom
Al 3.624 3.681 0.000
Al 3.624 -3.681 0.000
Ag 3.624 0.000 2.170
Pd 0.000 0.000 0.000
Pd 2.253 1.473 0.000
Pd 3.624 2.700 2.170
Pd 2.253 -1.473 0.000
Pd 4.996 1.473 0.000
Pd 3.624 -2.700 2.170
Pd 4.996 -1.473 0.000
```

Computed properties:
E_form in eV/atom: -0.04
Space group: Cmmm (65)

Computed spin magnetization (μB/cell) in order:
0.0, 0.0, 3.5, 5.0, 3.4, 0.0
Computed calculated total energy (eV per atom) in order:
-3.3222, -5.3543, -4.5842, -4.7054, -3.5628, -4.7057